A) The following is a DFT calculation (PBE) of a relaxed Mg8CdGa2 crystal.

Values from the calculation:
**Calculated density**: 3.043 g/cm³
**D(E_F)**: 4.1 states/eV per cell

Cell: 5.029 7.566 7.566 Å, 114.89 101.19 101.19°
Fractional coordinates of all 11 atoms:
Mg: 0.900 0.917 0.677
Mg: 0.900 0.677 0.917
Mg: 0.313 0.612 0.612
Mg: 0.500 0.773 0.227
Mg: 0.500 0.227 0.773
Mg: 0.687 0.388 0.388
Mg: 0.100 0.323 0.083
Mg: 0.100 0.083 0.323
Cd: 0.500 0.000 0.000
Ga: 0.000 0.309 0.691
Ga: 0.000 0.691 0.309

B) The following is a DFT calculation (PBE) of a relaxed Mg8CdGa2 crystal.

Values from the calculation:
**Calculated density**: 3.147 g/cm³
**D(E_F)**: 4.1 states/eV per cell

Cell: 4.645 7.328 8.166 Å, 116.66 106.53 90.00°
Fractional coordinates of all 11 atoms:
Mg: 0.658 0.879 0.316
Mg: 0.342 0.563 0.684
Mg: 0.157 0.157 0.314
Mg: 0.000 0.295 0.000
Mg: 0.843 0.843 0.686
Mg: 0.658 0.437 0.316
Mg: 0.342 0.121 0.684
Mg: 0.000 0.705 0.000
Cd: 0.500 0.000 0.000
Ga: 0.184 0.684 0.368
Ga: 0.816 0.316 0.632

Most stable of them? B).

A) The following is a DFT calculation (PBE) of a relaxed Mg3CdGa crystal.

Values from the calculation:
**Calculated density**: 3.997 g/cm³
**D(E_F)**: 3.2 states/eV per cell

Cell: 4.586 7.886 6.129 Å, 85.03 90.04 106.24°
Fractional coordinates of all 10 atoms:
Mg: 0.488 0.944 0.605
Mg: 0.695 0.361 0.079
Mg: 0.098 0.165 0.348
Mg: 0.889 0.744 0.873
Mg: 0.707 0.381 0.579
Mg: 0.488 0.944 0.103
Cd: 0.900 0.766 0.370
Cd: 0.086 0.146 0.846
Ga: 0.288 0.540 0.795
Ga: 0.292 0.551 0.280

B) The following is a DFT calculation (PBE) of a relaxed Mg3CdGa crystal.

Values from the calculation:
**Calculated density**: 3.213 g/cm³
**D(E_F)**: 2.9 states/eV per cell

Cell: 5.089 5.089 5.089 Å, 90.00 90.00 90.00°
Fractional coordinates of all 5 atoms:
Mg: 0.000 0.500 0.000
Mg: 0.000 0.000 0.500
Mg: 0.500 0.000 0.000
Ga: 0.000 0.000 0.000
Cd: 0.500 0.500 0.500

Most stable of them? A).

A) The following is a DFT calculation (PBE) of a relaxed MgCd2Ga crystal.

Values from the calculation:
**Calculated density**: 6.315 g/cm³
**D(E_F)**: 0.7 states/eV per cell

Cell: 4.508 4.313 4.313 Å, 90.00 90.00 90.00°
Fractional coordinates of all 4 atoms:
Mg: 0.500 0.500 0.500
Ga: 0.500 0.000 0.000
Cd: 0.000 0.000 0.500
Cd: 0.000 0.500 0.000

B) The following is a DFT calculation (PBE) of a relaxed MgCd2Ga crystal.

Values from the calculation:
**Calculated density**: 5.623 g/cm³
**D(E_F)**: 3.2 states/eV per cell

Cell: 8.053 8.053 6.392 Å, 50.95 50.95 90.00°
Fractional coordinates of all 8 atoms:
Mg: 0.500 0.500 0.000
Mg: 0.250 0.750 0.500
Ga: 0.000 0.000 0.000
Ga: 0.750 0.250 0.500
Cd: 0.647 0.125 0.250
Cd: 0.103 0.625 0.250
Cd: 0.375 0.353 0.750
Cd: 0.875 0.897 0.750

Most stable of them? A).

A) The following is a DFT calculation (PBE) of a relaxed MgCd2Ga crystal.

Values from the calculation:
**Calculated density**: 5.845 g/cm³
**D(E_F)**: 1.8 states/eV per cell

Cell: 4.651 4.651 5.530 Å, 65.13 65.13 60.00°
Fractional coordinates of all 4 atoms:
Mg: 0.487 0.487 0.540
Cd: 0.063 0.063 0.810
Cd: 0.266 0.266 0.202
Ga: 0.684 0.684 0.948

B) The following is a DFT calculation (PBE) of a relaxed MgCd2Ga crystal.

Values from the calculation:
**Calculated density**: 5.784 g/cm³
**D(E_F)**: 1.6 states/eV per cell

Cell: 3.087 3.087 11.232 Å, 82.10 82.10 60.00°
Fractional coordinates of all 4 atoms:
Mg: 0.000 0.000 0.000
Ga: 0.500 0.500 0.500
Cd: 0.090 0.090 0.729
Cd: 0.910 0.910 0.271

C) The following is a DFT calculation (PBE) of a relaxed MgCd2Ga crystal.

Values from the calculation:
**Calculated density**: 6.082 g/cm³
**D(E_F)**: 2.2 states/eV per cell

Cell: 4.975 4.975 4.975 Å, 60.00 60.00 60.00°
Fractional coordinates of all 4 atoms:
Mg: 0.000 0.000 0.000
Ga: 0.500 0.500 0.500
Cd: 0.250 0.250 0.250
Cd: 0.750 0.750 0.750

D) The following is a DFT calculation (PBE) of a relaxed MgCd2Ga crystal.

Values from the calculation:
**Calculated density**: 6.222 g/cm³
**D(E_F)**: 1.9 states/eV per cell

Cell: 5.156 3.053 12.338 Å, 90.00 118.81 90.00°
Fractional coordinates of all 8 atoms:
Mg: 0.260 0.250 0.376
Mg: 0.740 0.750 0.624
Cd: 0.589 0.250 0.138
Cd: 0.411 0.750 0.862
Cd: 0.075 0.750 0.126
Cd: 0.925 0.250 0.874
Ga: 0.776 0.750 0.392
Ga: 0.224 0.250 0.608

Most stable of them? D).

A) The following is a DFT calculation (PBE) of a relaxed Mg2Cd2Ga crystal.

Values from the calculation:
**Calculated density**: 5.067 g/cm³
**D(E_F)**: 4.3 states/eV per cell

Cell: 8.506 8.506 3.108 Å, 90.00 90.00 90.00°
Fractional coordinates of all 10 atoms:
Mg: 0.177 0.677 0.500
Mg: 0.677 0.823 0.500
Mg: 0.823 0.323 0.500
Mg: 0.323 0.177 0.500
Ga: 0.000 0.000 0.000
Ga: 0.500 0.500 0.000
Cd: 0.377 0.877 0.000
Cd: 0.877 0.623 0.000
Cd: 0.623 0.123 0.000
Cd: 0.123 0.377 0.000

B) The following is a DFT calculation (PBE) of a relaxed Mg2Cd2Ga crystal.

Values from the calculation:
**Calculated density**: 5.317 g/cm³
**D(E_F)**: 1.9 states/eV per cell

Cell: 3.142 4.639 7.710 Å, 72.49 90.00 90.00°
Fractional coordinates of all 5 atoms:
Mg: 0.500 0.397 0.207
Mg: 0.500 0.603 0.793
Cd: 0.000 0.193 0.614
Cd: 0.000 0.807 0.386
Ga: 0.000 0.000 0.000

C) The following is a DFT calculation (PBE) of a relaxed Mg2Cd2Ga crystal.

Values from the calculation:
**Calculated density**: 5.012 g/cm³
**D(E_F)**: 4.0 states/eV per cell

Cell: 7.391 7.391 4.162 Å, 90.00 90.00 90.00°
Fractional coordinates of all 10 atoms:
Mg: 0.350 0.850 0.000
Mg: 0.850 0.650 0.000
Mg: 0.650 0.150 0.000
Mg: 0.150 0.350 0.000
Ga: 0.000 0.000 0.000
Ga: 0.500 0.500 0.000
Cd: 0.152 0.652 0.500
Cd: 0.652 0.848 0.500
Cd: 0.848 0.348 0.500
Cd: 0.348 0.152 0.500

D) The following is a DFT calculation (PBE) of a relaxed Mg2Cd2Ga crystal.

Values from the calculation:
**Calculated density**: 4.728 g/cm³
**D(E_F)**: 2.6 states/eV per cell

Cell: 4.158 4.158 7.567 Å, 74.05 74.05 90.00°
Fractional coordinates of all 5 atoms:
Mg: 0.750 0.250 0.500
Mg: 0.250 0.750 0.500
Ga: 0.000 0.000 0.000
Cd: 0.400 0.400 0.199
Cd: 0.600 0.600 0.801

Most stable of them? B).

A) The following is a DFT calculation (PBE) of a relaxed Mg12Cd6Ga crystal.

Values from the calculation:
**Calculated density**: 3.943 g/cm³
**D(E_F)**: 8.0 states/eV per cell

Cell: 7.977 7.977 7.977 Å, 105.77 105.77 105.77°
Fractional coordinates of all 19 atoms:
Mg: 0.477 0.189 0.587
Mg: 0.189 0.587 0.477
Mg: 0.587 0.477 0.189
Mg: 0.523 0.811 0.413
Mg: 0.811 0.413 0.523
Mg: 0.413 0.523 0.811
Mg: 0.262 0.135 0.842
Mg: 0.158 0.738 0.865
Mg: 0.865 0.158 0.738
Mg: 0.738 0.865 0.158
Mg: 0.842 0.262 0.135
Mg: 0.135 0.842 0.262
Cd: 0.085 0.198 0.475
Cd: 0.802 0.525 0.915
Cd: 0.525 0.915 0.802
Cd: 0.915 0.802 0.525
Cd: 0.198 0.475 0.085
Cd: 0.475 0.085 0.198
Ga: 0.000 0.000 0.000

B) The following is a DFT calculation (PBE) of a relaxed Mg12Cd6Ga crystal.

Values from the calculation:
**Calculated density**: 4.078 g/cm³
**D(E_F)**: 8.5 states/eV per cell

Cell: 7.500 7.500 7.500 Å, 89.02 89.02 89.02°
Fractional coordinates of all 19 atoms:
Mg: 0.803 0.526 0.431
Mg: 0.431 0.803 0.526
Mg: 0.526 0.431 0.803
Mg: 0.197 0.474 0.569
Mg: 0.569 0.197 0.474
Mg: 0.474 0.569 0.197
Mg: 0.036 0.149 0.367
Mg: 0.851 0.633 0.964
Mg: 0.633 0.964 0.851
Mg: 0.964 0.851 0.633
Mg: 0.149 0.367 0.036
Mg: 0.367 0.036 0.149
Cd: 0.725 0.883 0.272
Cd: 0.728 0.275 0.117
Cd: 0.117 0.728 0.275
Cd: 0.275 0.117 0.728
Cd: 0.272 0.725 0.883
Cd: 0.883 0.272 0.725
Ga: 0.000 0.000 0.000

Most stable of them? B).

A) The following is a DFT calculation (PBE) of a relaxed Mg2Cd8Ga crystal.

Values from the calculation:
**Calculated density**: 6.547 g/cm³
**D(E_F)**: 3.5 states/eV per cell

Cell: 5.959 6.932 7.672 Å, 63.14 79.38 65.93°
Fractional coordinates of all 11 atoms:
Mg: 0.000 0.301 0.397
Mg: 0.000 0.699 0.603
Cd: 0.785 0.092 0.223
Cd: 0.785 0.315 0.777
Cd: 0.266 0.419 0.000
Cd: 0.500 0.778 0.444
Cd: 0.500 0.222 0.556
Cd: 0.734 0.581 0.000
Cd: 0.215 0.685 0.223
Cd: 0.215 0.908 0.777
Ga: 0.500 0.000 0.000

B) The following is a DFT calculation (PBE) of a relaxed Mg2Cd8Ga crystal.

Values from the calculation:
**Calculated density**: 6.999 g/cm³
**D(E_F)**: 3.6 states/eV per cell

Cell: 4.463 6.959 8.402 Å, 105.75 105.40 90.00°
Fractional coordinates of all 11 atoms:
Mg: 0.226 0.641 0.452
Mg: 0.774 0.359 0.548
Cd: 0.593 0.455 0.186
Cd: 0.320 0.092 0.640
Cd: 0.139 0.188 0.278
Cd: 0.044 0.730 0.088
Cd: 0.861 0.812 0.722
Cd: 0.680 0.908 0.360
Cd: 0.407 0.545 0.814
Cd: 0.956 0.270 0.912
Ga: 0.500 0.000 0.000

Most stable of them? B).

A) The following is a DFT calculation (PBE) of a relaxed MgCd3Ga crystal.

Values from the calculation:
**Calculated density**: 4.705 g/cm³
**D(E_F)**: 2.7 states/eV per cell

Cell: 5.339 5.339 5.339 Å, 90.00 90.00 90.00°
Fractional coordinates of all 5 atoms:
Mg: 0.000 0.000 0.000
Ga: 0.500 0.500 0.500
Cd: 0.000 0.500 0.000
Cd: 0.000 0.000 0.500
Cd: 0.500 0.000 0.000

B) The following is a DFT calculation (PBE) of a relaxed MgCd3Ga crystal.

Values from the calculation:
**Calculated density**: 5.005 g/cm³
**D(E_F)**: 2.1 states/eV per cell

Cell: 5.230 5.230 5.230 Å, 90.00 90.00 90.00°
Fractional coordinates of all 5 atoms:
Mg: 0.500 0.500 0.500
Ga: 0.000 0.000 0.000
Cd: 0.000 0.500 0.000
Cd: 0.000 0.000 0.500
Cd: 0.500 0.000 0.000

C) The following is a DFT calculation (PBE) of a relaxed MgCd3Ga crystal.

Values from the calculation:
**Calculated density**: 6.453 g/cm³
**D(E_F)**: 2.5 states/eV per cell

Cell: 8.572 8.572 5.301 Å, 90.00 90.00 145.26°
Fractional coordinates of all 10 atoms:
Mg: 0.149 0.851 0.606
Mg: 0.851 0.149 0.106
Cd: 0.951 0.049 0.591
Cd: 0.755 0.245 0.642
Cd: 0.446 0.554 0.228
Cd: 0.554 0.446 0.728
Cd: 0.049 0.951 0.091
Cd: 0.245 0.755 0.142
Ga: 0.649 0.351 0.209
Ga: 0.351 0.649 0.709

Most stable of them? C).

A) The following is a DFT calculation (PBE) of a relaxed Mg14CdGa crystal.

Values from the calculation:
**Calculated density**: 2.427 g/cm³
**D(E_F)**: 7.5 states/eV per cell

Cell: 6.281 6.281 10.185 Å, 90.00 90.00 117.21°
Fractional coordinates of all 16 atoms:
Mg: 0.199 0.801 0.000
Mg: 0.700 0.300 0.000
Mg: 0.048 0.446 0.500
Mg: 0.204 0.300 0.000
Mg: 0.554 0.952 0.500
Mg: 0.700 0.796 0.000
Mg: 0.378 0.129 0.742
Mg: 0.378 0.129 0.258
Mg: 0.871 0.622 0.742
Mg: 0.871 0.622 0.258
Mg: 0.376 0.624 0.747
Mg: 0.376 0.624 0.253
Mg: 0.877 0.123 0.751
Mg: 0.877 0.123 0.249
Cd: 0.048 0.952 0.500
Ga: 0.544 0.456 0.500

B) The following is a DFT calculation (PBE) of a relaxed Mg14CdGa crystal.

Values from the calculation:
**Calculated density**: 2.454 g/cm³
**D(E_F)**: 8.9 states/eV per cell

Cell: 6.348 6.348 10.131 Å, 90.00 90.00 120.00°
Fractional coordinates of all 16 atoms:
Mg: 0.999 0.500 0.000
Mg: 0.997 0.498 0.500
Mg: 0.500 0.001 0.000
Mg: 0.502 0.003 0.500
Mg: 0.500 0.500 0.000
Mg: 0.502 0.498 0.500
Mg: 0.165 0.835 0.254
Mg: 0.165 0.835 0.746
Mg: 0.165 0.331 0.254
Mg: 0.165 0.331 0.746
Mg: 0.669 0.835 0.254
Mg: 0.669 0.835 0.746
Mg: 0.667 0.333 0.252
Mg: 0.667 0.333 0.748
Cd: 0.000 0.000 0.000
Ga: 0.000 0.000 0.500

Most stable of them? B).